No. 1
Tb6P5F: relaxed, PBE-GGA.

Cell lengths 6.890, 6.902, 6.893 Å; angles 59.96, 80.37, 70.49 degrees
Fractional positions:
P 0.000 0.667 0.666
P 0.500 0.166 0.669
P 0.500 0.500 0.000
P 0.000 0.333 0.334
P 0.500 0.834 0.331
Tb 0.256 0.256 0.000
Tb 0.253 0.575 0.341
Tb 0.744 0.744 0.000
Tb 0.747 0.084 0.341
Tb 0.747 0.425 0.659
Tb 0.253 0.916 0.659
F 0.000 0.000 0.000

Computed properties:
E: -6.51 eV per atom
Total magnetic moment: 0.00 μB per cell
Theoretical density: 7.00 g/cm³
Fermi-level density of states: 0.22 states/eV per atom

No. 2
Tb2PF: relaxed, PBE-GGA.

Cell lengths 3.978, 3.978, 7.835 Å; angles 75.29, 75.29, 60.00 degrees
Fractional positions:
Tb 0.902 0.902 0.294
Tb 0.098 0.098 0.706
F 0.000 0.000 0.000
P 0.500 0.500 0.500

Computed properties:
E: -6.13 eV per atom
Total magnetic moment: 0.00 μB per cell
Theoretical density: 5.95 g/cm³
Fermi-level density of states: 0.51 states/eV per atom

No. 3
Tc3PF: relaxed, PBE-GGA.

Cell lengths 4.433, 4.433, 4.433 Å; angles 90.00, 90.00, 90.00 degrees
Fractional positions:
Tc 0.500 0.000 0.000
Tc 0.000 0.500 0.000
Tc 0.000 0.000 0.500
P 0.000 0.000 0.000
F 0.500 0.500 0.500

Computed properties:
E: -6.81 eV per atom
Polymorph energy (0 for the lowest one): 0 meV/atom
Total magnetic moment: 3.17 μB per cell
Theoretical density: 6.55 g/cm³
Fermi-level density of states: 1.62 states/eV per atom

No. 4
TcPF3: relaxed, PBE-GGA.

Cell lengths 4.126, 4.126, 4.126 Å; angles 90.00, 90.00, 90.00 degrees
Fractional positions:
F 0.000 0.000 0.500
F 0.000 0.500 0.000
F 0.500 0.000 0.000
Tc 0.000 0.000 0.000
P 0.500 0.500 0.500

Computed properties:
E: -4.65 eV per atom
Polymorph energy (0 for the lowest one): 0 meV/atom
Total magnetic moment: 0.01 μB per cell
Theoretical density: 4.40 g/cm³
Fermi-level density of states: 1.10 states/eV per atom

No. 5
TcPF3: relaxed, PBE-GGA.

Cell lengths 4.269, 4.269, 4.269 Å; angles 90.00, 90.00, 90.00 degrees
Fractional positions:
P 0.000 0.000 0.000
F 0.000 0.500 0.000
F 0.500 0.000 0.000
F 0.000 0.000 0.500
Tc 0.500 0.500 0.500

Computed properties:
E: -4.43 eV per atom
Polymorph energy (0 for the lowest one): 220 meV/atom
Total magnetic moment: 4.38 μB per cell
Theoretical density: 3.97 g/cm³
Fermi-level density of states: 1.14 states/eV per atom

No. 6
TcP3F: relaxed, PBE-GGA.

Cell lengths 4.187, 4.187, 4.187 Å; angles 90.00, 90.00, 90.00 degrees
Fractional positions:
F 0.000 0.000 0.000
Tc 0.500 0.500 0.500
P 0.000 0.500 0.000
P 0.000 0.000 0.500
P 0.500 0.000 0.000

Computed properties:
E: -4.81 eV per atom
Polymorph energy (0 for the lowest one): 660 meV/atom
Total magnetic moment: 0.00 μB per cell
Theoretical density: 4.75 g/cm³
Fermi-level density of states: 0.78 states/eV per atom